{"formula": "SrWI2N", "functional": "PBE", "state": "relaxed", "lattice_angstrom": [[5.783, 0.000, 0.000], [0.000, 5.783, 0.000], [0.000, 0.000, 3.919]], "species": ["Sr", "W", "I", "I", "N"], "frac_coords": [[0.000, 0.000, 0.000], [0.500, 0.500, 0.500], [0.000, 0.500, 0.500], [0.500, 0.000, 0.500], [0.500, 0.500, 0.000]], "formation_energy_uncorrected_mev_per_atom": -165, "spacegroup": "P4/mmm, No. 123", "relative_energy_ev_per_atom": 0.000, "vol_a3_per_atom": 26.212}

{"formula": "SrYIN2", "functional": "PBE", "state": "relaxed", "lattice_angstrom": [[4.561, 0.000, 0.000], [0.000, 4.561, 0.000], [0.000, 0.000, 5.956]], "species": ["Sr", "Y", "I", "N", "N"], "frac_coords": [[0.000, 0.000, 0.000], [0.500, 0.500, 0.500], [0.500, 0.500, 0.000], [0.000, 0.500, 0.500], [0.500, 0.000, 0.500]], "formation_energy_uncorrected_mev_per_atom": -129, "spacegroup": "P4/mmm, No. 123", "relative_energy_ev_per_atom": 0.000, "vol_a3_per_atom": 24.782}

{"formula": "SrYIN2", "functional": "PBE", "state": "relaxed", "lattice_angstrom": [[4.650, 0.000, 0.000], [0.000, 4.650, 0.000], [0.000, 0.000, 5.886]], "species": ["Sr", "Y", "I", "N", "N"], "frac_coords": [[0.000, 0.000, 0.000], [0.500, 0.500, 0.500], [0.000, 0.000, 0.500], [0.000, 0.500, 0.000], [0.500, 0.000, 0.000]], "formation_energy_uncorrected_mev_per_atom": 847, "spacegroup": "P4/mmm, No. 123", "relative_energy_ev_per_atom": 0.975, "vol_a3_per_atom": 25.448}

{"formula": "SrZnI2N", "functional": "PBE", "state": "relaxed", "lattice_angstrom": [[6.154, 0.000, 0.000], [0.000, 6.154, 0.000], [0.000, 0.000, 3.744]], "species": ["Sr", "Zn", "I", "I", "N"], "frac_coords": [[0.000, 0.000, 0.000], [0.500, 0.500, 0.000], [0.000, 0.500, 0.500], [0.500, 0.000, 0.500], [0.500, 0.500, 0.500]], "formation_energy_uncorrected_mev_per_atom": -91, "spacegroup": "P4/mmm, No. 123", "relative_energy_ev_per_atom": 0.101, "vol_a3_per_atom": 28.359}